Entry 1:
Compound: TlS3Br
Source: the Alexandria database
Functional: PBE
Structure: optimized geometry

a = 5.2846 Å, b = 5.2846 Å, c = 5.2846 Å
α = 90.00°, β = 90.00°, γ = 90.00°
Last column: magnetic moment on the atom in μB.
Sites, in units of the cell vectors:
S  0.0000  0.5000  0.0000  0.64
S  0.0000  0.0000  0.5000  0.69
S  0.5000  0.0000  0.0000  0.73
Tl  0.0000  0.0000  0.0000  -0.02
Br  0.5000  0.5000  0.5000  0.66

Values from the calculation:
* M_tot: 0.82 μB per atom
* crystal system: cubic
* formation energy without anion corrections: 0.949 eV per atom

Entry 2:
Compound: Tl8S4Br
Source: the Alexandria database
Functional: PBE
Structure: optimized geometry

a = 8.9806 Å, b = 8.9806 Å, c = 8.9806 Å
α = 60.00°, β = 60.00°, γ = 60.00°
Sites, in units of the cell vectors:
Tl  0.1366  0.5902  0.1366
Tl  0.1792  0.6069  0.6069
Tl  0.1366  0.1366  0.1366
Tl  0.6069  0.6069  0.6069
Tl  0.1366  0.1366  0.5902
Tl  0.5902  0.1366  0.1366
Tl  0.6069  0.1792  0.6069
Tl  0.6069  0.6069  0.1792
S  0.3689  0.3689  0.8934
S  0.8934  0.3689  0.3689
S  0.3689  0.3689  0.3689
S  0.3689  0.8934  0.3689
Br  0.7500  0.7500  0.7500

Values from the calculation:
* M_tot: 0.00 μB per atom
* crystal system: cubic
* formation energy without anion corrections: -0.324 eV per atom

Entry 3:
Compound: Tl4S2Br
Source: the Alexandria database
Functional: PBE
Structure: optimized geometry

a = 4.5084 Å, b = 7.9599 Å, c = 13.2374 Å
α = 90.00°, β = 90.00°, γ = 106.45°
Sites, in units of the cell vectors:
Br  0.5715  0.1431  0.7500
Br  0.4285  0.8569  0.2500
S  0.1452  0.2903  0.4455
S  0.8548  0.7097  0.9455
S  0.1452  0.2903  0.0545
S  0.8548  0.7097  0.5545
Tl  0.9288  0.8576  0.7500
Tl  0.5000  0.0000  0.5000
Tl  0.5000  0.0000  0.0000
Tl  0.7610  0.5220  0.3761
Tl  0.7610  0.5220  0.1239
Tl  0.2390  0.4780  0.8761
Tl  0.2390  0.4780  0.6239
Tl  0.0712  0.1424  0.2500

Values from the calculation:
* M_tot: 0.00 μB per atom
* crystal system: orthorhombic
* formation energy without anion corrections: -0.393 eV per atom

Entry 4:
Compound: Tl6SBr4
Source: the Alexandria database
Functional: PBE
Structure: optimized geometry

a = 9.2309 Å, b = 9.2309 Å, c = 9.2309 Å
α = 90.87°, β = 90.87°, γ = 89.13°
Sites, in units of the cell vectors:
Tl  0.4525  0.8097  0.4478
Tl  0.5475  0.1903  0.5522
Tl  0.0475  0.9478  0.3097
Tl  0.5522  0.4525  0.1903
Tl  0.4478  0.5475  0.8097
Tl  0.3097  0.9525  0.9478
Tl  0.0522  0.3097  0.0475
Tl  0.8097  0.5522  0.5475
Tl  0.6903  0.0475  0.0522
Tl  0.1903  0.4478  0.4525
Tl  0.9525  0.0522  0.6903
Tl  0.9478  0.6903  0.9525
Br  0.7500  0.3282  0.8282
Br  0.2500  0.2500  0.7500
Br  0.1718  0.7500  0.6718
Br  0.7500  0.7500  0.2500
Br  0.8282  0.2500  0.3282
Br  0.2500  0.6718  0.1718
Br  0.6718  0.8282  0.7500
Br  0.3282  0.1718  0.2500
S  0.5000  0.5000  0.5000
S  0.0000  0.0000  0.0000

Values from the calculation:
* M_tot: 0.00 μB per atom
* crystal system: trigonal
* formation energy without anion corrections: -0.722 eV per atom

Entry 5:
Compound: Tl2SBr
Source: the Alexandria database
Functional: PBE
Structure: optimized geometry

a = 4.3772 Å, b = 4.3772 Å, c = 7.8207 Å
α = 73.75°, β = 73.75°, γ = 60.00°
Sites, in units of the cell vectors:
Tl  0.2624  0.2624  0.2129
Tl  0.7376  0.7376  0.7871
Br  0.5000  0.5000  0.5000
S  0.0000  0.0000  0.0000

Values from the calculation:
* M_tot: 0.00 μB per atom
* crystal system: trigonal
* formation energy without anion corrections: -0.428 eV per atom

Entry 6:
Compound: Tl4S12Br
Source: the Alexandria database
Functional: PBE
Structure: optimized geometry

a = 8.7570 Å, b = 8.7570 Å, c = 8.7570 Å
α = 109.47°, β = 109.47°, γ = 109.47°
Sites, in units of the cell vectors:
S  0.7263  0.1305  0.5958
S  0.8695  0.5958  0.4653
S  0.5958  0.7263  0.1305
S  0.1305  0.4042  0.5347
S  0.2737  0.8695  0.4042
S  0.1305  0.5958  0.7263
S  0.4042  0.5347  0.1305
S  0.5958  0.4653  0.8695
S  0.8695  0.4042  0.2737
S  0.5347  0.1305  0.4042
S  0.4042  0.2737  0.8695
S  0.4653  0.8695  0.5958
Tl  0.5000  0.5000  0.5000
Tl  0.0000  0.0000  0.5000
Tl  0.0000  0.5000  0.0000
Tl  0.5000  0.0000  0.0000
Br  0.0000  0.0000  0.0000

Values from the calculation:
* M_tot: 0.00 μB per atom
* crystal system: cubic
* formation energy without anion corrections: -0.053 eV per atom

Entry 7:
Compound: TlS2Br
Source: the Alexandria database
Functional: PBE
Structure: optimized geometry

a = 7.0332 Å, b = 7.0332 Å, c = 6.8950 Å
α = 59.33°, β = 59.33°, γ = 90.00°
Sites, in units of the cell vectors:
S  0.3750  0.3427  0.7500
S  0.0927  0.6250  0.2500
S  0.6573  0.1250  0.2500
S  0.8750  0.9073  0.7500
Br  0.2500  0.7500  0.5000
Br  0.5000  0.5000  0.0000
Tl  0.7500  0.2500  0.5000
Tl  0.0000  0.0000  0.0000

Values from the calculation:
* M_tot: 0.00 μB per atom
* crystal system: tetragonal
* formation energy without anion corrections: 0.380 eV per atom

Entry 8:
Compound: TlS6Br
Source: the Alexandria database
Functional: PBE
Structure: optimized geometry

a = 8.0838 Å, b = 8.0838 Å, c = 6.3464 Å
α = 112.25°, β = 112.25°, γ = 36.82°
Sites, in units of the cell vectors:
Tl  0.0000  0.0000  0.5000
Br  0.0000  0.0000  0.0000
S  0.9808  0.5127  0.7467
S  0.4873  0.0192  0.2533
S  0.5127  0.9808  0.7467
S  0.6424  0.6424  0.1458
S  0.0192  0.4873  0.2533
S  0.3576  0.3576  0.8542

Values from the calculation:
* M_tot: 0.00 μB per atom
* crystal system: monoclinic
* formation energy without anion corrections: 0.209 eV per atom